[1]
First-principles (PBE) data for a relaxed NbZnAs2Br crystal, as listed in Alexandria.

Cell lengths 4.7108, 4.7108, 5.2417 Å; angles 90.00, 90.00, 90.00 degrees
Element x y z (fractional)
Zn  0.0000  0.0000  0.0000
Nb  0.5000  0.5000  0.5000
As  0.0000  0.5000  0.0000
As  0.5000  0.0000  0.0000
Br  0.0000  0.0000  0.5000

The formation energy (no corrections) comes out at 79.4 kJ per mole of atoms. The density of states at the Fermi level is 4.08 states/eV per cell. As for the total moment: 0.469 μB per atom. Its crystal system is tetragonal.

[2]
First-principles (PBE) data for a relaxed KIn2AgAu4 crystal, as listed in Alexandria.

Cell lengths 4.7086, 4.7086, 10.4141 Å; angles 76.93, 76.93, 60.00 degrees
Element x y z (fractional)
K  0.0000  0.0000  0.0000
In  0.7621  0.7621  0.7138
In  0.2379  0.2379  0.2862
Ag  0.5000  0.5000  0.5000
Au  0.4063  0.4063  0.7810
Au  0.8619  0.8619  0.4142
Au  0.1381  0.1381  0.5858
Au  0.5937  0.5937  0.2190

The density of states at the Fermi level is 3.23 states/eV per cell. The value obtained for the energy of formation from the pure elements is -1.144 eV per formula unit. As for the total moment: 0.000 μB per atom. Its crystal system is trigonal.

[3]
First-principles (PBE) data for a relaxed BeCr2Cd crystal, as listed in Alexandria.

Cell lengths 8.8494, 8.8494, 8.8494 Å; angles 17.25, 17.25, 17.25 degrees
Element x y z (fractional)
Cr  0.9897  0.9897  0.9897
Cr  0.5103  0.5103  0.5103
Be  0.2500  0.2500  0.2500
Cd  0.7500  0.7500  0.7500

The density of states at the Fermi level is 5.24 states/eV per cell. The value obtained for the energy of formation from the pure elements is 2.593 eV per formula unit. As for the total moment: 0.210 μB per atom. Its crystal system is trigonal.

[4]
First-principles (PBE) data for a relaxed CeNd2Th2 crystal, as listed in Alexandria.

Cell lengths 3.5711, 3.5711, 14.7773 Å; angles 83.06, 83.06, 60.00 degrees
Element x y z (fractional)
Ce  0.0000  0.0000  0.0000
Nd  0.7965  0.7965  0.6104
Nd  0.2035  0.2035  0.3896
Th  0.3968  0.3968  0.8095
Th  0.6032  0.6032  0.1905

The density of states at the Fermi level is 8.35 states/eV per cell. The value obtained for the energy of formation from the pure elements is 0.138 eV per formula unit. As for the total moment: 0.000 μB per atom. Its crystal system is trigonal.

[5]
First-principles (PBE) data for a relaxed ZrFe2 crystal, as listed in Alexandria.

Cell lengths 6.9193, 6.9193, 6.9193 Å; angles 148.25, 148.25, 45.51 degrees
Element x y z (fractional)
Zr  0.7500  0.2500  0.5000
Zr  0.0000  0.0000  0.0000
Fe  0.5836  0.5836  0.0000
Fe  0.4164  0.4164  0.0000
Fe  0.3336  0.8336  0.5000
Fe  0.1664  0.6664  0.5000

The density of states at the Fermi level is 7.55 states/eV per cell. The value obtained for the energy of formation from the pure elements is -0.061 eV per formula unit. As for the total moment: 0.249 μB per atom. Its crystal system is tetragonal.

[6]
First-principles (PBE) data for a relaxed MgSiTe2P crystal, as listed in Alexandria.

Cell lengths 5.4090, 4.6777, 5.4090 Å; angles 90.00, 90.00, 90.00 degrees
Element x y z (fractional)
P  0.0000  0.0000  0.0000
Si  0.5000  0.5000  0.5000
Te  0.0000  0.0000  0.5000
Te  0.5000  0.0000  0.0000
Mg  0.0000  0.5000  0.0000

The formation energy (no corrections) comes out at 45.3 kJ per mole of atoms. The density of states at the Fermi level is 2.55 states/eV per cell. As for the total moment: 0.000 μB per atom. Its crystal system is tetragonal.

[7]
First-principles (PBE) data for a relaxed SrZrCu crystal, as listed in Alexandria.

Cell lengths 6.8502, 6.8503, 3.4745 Å; angles 75.31, 75.31, 29.38 degrees
Element x y z (fractional)
Cu  0.9703  0.9703  0.0297
Sr  0.6527  0.6527  0.3473
Zr  0.3769  0.3769  0.6231

The density of states at the Fermi level is 2.23 states/eV per cell. The value obtained for the energy of formation from the pure elements is 0.548 eV per formula unit. As for the total moment: 0.141 μB per atom. Its crystal system is tetragonal.

[8]
First-principles (PBE) data for a relaxed BaSrCo2 crystal, as listed in Alexandria.

Cell lengths 8.7361, 8.7361, 8.7361 Å; angles 26.77, 26.77, 26.77 degrees
Element x y z (fractional)
Ba  0.7500  0.7500  0.7500
Co  0.9984  0.9984  0.9984
Co  0.5016  0.5016  0.5016
Sr  0.2500  0.2500  0.2500

The density of states at the Fermi level is 7.62 states/eV per cell. The value obtained for the energy of formation from the pure elements is 3.603 eV per formula unit. As for the total moment: 0.580 μB per atom. Its crystal system is trigonal.

[9]
First-principles (PBE) data for a relaxed Tb3Pr2Nd3 crystal, as listed in Alexandria.

Cell lengths 3.6027, 8.8879, 17.7893 Å; angles 90.00, 90.00, 101.69 degrees
Element x y z (fractional)
Tb  0.0025  0.0050  0.1013
Tb  0.9975  0.9950  0.6013
Tb  0.0025  0.0050  0.3987
Tb  0.9975  0.9950  0.8987
Tb  0.5839  0.1678  0.2500
Tb  0.4161  0.8322  0.7500
Pr  0.7744  0.5489  0.6535
Pr  0.2256  0.4511  0.1535
Pr  0.7744  0.5489  0.8465
Pr  0.2256  0.4511  0.3465
Nd  0.6509  0.3019  0.9959
Nd  0.3491  0.6981  0.4959
Nd  0.6509  0.3019  0.5041
Nd  0.3491  0.6981  0.0041
Nd  0.3968  0.7936  0.2500
Nd  0.6032  0.2064  0.7500

The density of states at the Fermi level is 22.86 states/eV per cell. The value obtained for the energy of formation from the pure elements is 0.966 eV per formula unit. As for the total moment: 0.000 μB per atom. Its crystal system is orthorhombic.

[10]
First-principles (PBE) data for a relaxed CsK2AuF crystal, as listed in Alexandria.

Cell lengths 4.5536, 8.3906, 10.0960 Å; angles 90.00, 90.00, 105.74 degrees
Element x y z (fractional)
Cs  0.4567  0.9134  0.7500
Cs  0.5433  0.0866  0.2500
K  0.1535  0.3070  0.9463
K  0.8465  0.6930  0.0537
K  0.1535  0.3070  0.5537
K  0.8465  0.6930  0.4463
Au  0.7536  0.5071  0.7500
Au  0.2464  0.4929  0.2500
F  0.0000  0.0000  0.0000
F  0.0000  0.0000  0.5000

The formation energy (no corrections) comes out at -107.9 kJ per mole of atoms. The density of states at the Fermi level is 6.18 states/eV per cell. As for the total moment: 0.000 μB per atom. Its crystal system is orthorhombic.

[11]
First-principles (PBE) data for a relaxed PrNdHoTl crystal, as listed in Alexandria.

Cell lengths 5.0413, 4.9095, 4.9229 Å; angles 90.00, 90.00, 90.00 degrees
Element x y z (fractional)
Pr  0.5000  0.0000  0.5000
Nd  0.5000  0.5000  0.0000
Ho  0.0000  0.5000  0.5000
Tl  0.0000  0.0000  0.0000

The density of states at the Fermi level is 5.76 states/eV per cell. The value obtained for the energy of formation from the pure elements is -0.775 eV per formula unit. As for the total moment: 0.000 μB per atom. Its crystal system is orthorhombic.

[12]
First-principles (PBE) data for a relaxed Ba2Mg4Tl3Pb crystal, as listed in Alexandria.

Cell lengths 5.0504, 5.0504, 12.1616 Å; angles 90.00, 90.00, 90.00 degrees
Element x y z (fractional)
Ba  0.5000  0.0000  0.2508
Ba  0.0000  0.5000  0.7492
Mg  0.5000  0.5000  0.0000
Mg  0.0000  0.0000  0.0000
Mg  0.5000  0.0000  0.6337
Mg  0.0000  0.5000  0.3663
Tl  0.0000  0.0000  0.5000
Tl  0.5000  0.0000  0.8700
Tl  0.0000  0.5000  0.1300
Pb  0.5000  0.5000  0.5000

The density of states at the Fermi level is 5.26 states/eV per cell. The value obtained for the energy of formation from the pure elements is -2.734 eV per formula unit. As for the total moment: 0.000 μB per atom. Its crystal system is tetragonal.